No. 1
Computed, not measured: a relaxed TcTeOs2 crystal at the PBE-GGA level of DFT.

```
TcTeOs2
1.0
2.904 0.000 0.000
0.000 3.774 0.000
0.000 0.000 6.022
Te Os Tc
1 2 1
Direct
0.500 0.500 0.743
0.000 0.000 0.038
0.500 0.500 0.244
0.000 0.000 0.475
```

The calculation puts the density of states at the Fermi level at 1.05 states/eV per atom. Its relative energy among the computed polymorphs is 0.082 eV per atom. The calculation puts the uncorrected energy at -33.35 eV per cell. Its volume is 66.00 Å³/f.u. As for the space group: No. 25. As for the formation energy (no corrections): 2.62 eV per formula unit.

No. 2
Computed, not measured: a relaxed CeNd2ScS4 crystal at the PBE-GGA level of DFT.

```
CeNd2ScS4
1.0
3.948 0.000 0.000
0.000 6.884 0.138
0.000 -2.387 6.466
S Sc Nd Ce
4 1 2 1
Direct
0.000 0.758 0.237
0.500 0.769 0.772
0.000 0.242 0.763
0.500 0.231 0.228
0.000 0.000 0.000
0.500 0.000 0.500
0.000 0.500 0.500
0.500 0.500 0.000
```

The calculation puts the density of states at the Fermi level at 0.93 states/eV per atom. The calculation puts the uncorrected energy at -54.02 eV per cell. Its volume is 177.03 Å³/f.u. As for the space group: No. 10. As for the formation energy (no corrections): -15.71 eV per formula unit.

No. 3
Computed, not measured: a relaxed CsCuBi2 crystal at the PBE-GGA level of DFT.

```
CsCuBi2
1.0
3.760 0.000 0.000
0.000 3.760 0.000
0.000 0.000 8.930
Bi Cs Cu
2 1 1
Direct
0.000 0.000 0.169
0.000 0.000 0.831
0.500 0.500 0.500
0.500 0.500 0.000
```

The calculation puts the density of states at the Fermi level at 0.62 states/eV per atom. Its relative energy among the computed polymorphs is 0.112 eV per atom. The calculation puts the uncorrected energy at -12.27 eV per cell. Its volume is 126.27 Å³/f.u. As for the space group: No. 123. The formation energy is 0.111 eV/atom.

No. 4
Computed, not measured: a relaxed LiCo2Ge crystal at the PBE-GGA level of DFT.

```
LiCo2Ge
1.0
6.484 0.000 0.000
0.000 6.484 0.000
3.242 3.242 2.474
Co Li Ge
4 2 2
Direct
0.875 0.888 0.750
0.375 0.362 0.750
0.112 0.625 0.250
0.638 0.125 0.250
0.500 0.500 0.000
0.250 0.750 0.500
0.750 0.250 0.500
0.000 0.000 0.000
```

The calculation puts the density of states at the Fermi level at 1.26 states/eV per atom. The calculation puts the uncorrected energy at -39.07 eV per cell. Its volume is 52.01 Å³/f.u. As for the space group: No. 122. The formation energy is 0.302 eV/atom.

No. 5
Computed, not measured: a relaxed Nb4In2S7 crystal at the PBE-GGA level of DFT.

```
Nb4In2S7
1.0
-2.467 -2.625 4.862
2.153 -3.408 -4.514
7.474 -0.176 3.698
S In Nb
7 2 4
Direct
0.000 0.609 0.706
0.000 0.000 0.000
0.000 0.391 0.294
0.391 0.391 0.706
0.609 0.609 0.294
0.609 0.000 0.706
0.391 0.000 0.294
0.667 0.333 0.000
0.333 0.667 0.000
0.333 0.667 0.500
0.667 0.333 0.500
0.000 0.000 0.669
0.000 0.000 0.331
```

The calculation puts the density of states at the Fermi level at 0.60 states/eV per atom. The calculation puts the uncorrected energy at -81.89 eV per cell. Its volume is 264.55 Å³/f.u. As for the space group: No. 162. As for the formation energy (no corrections): -7.24 eV per formula unit.

No. 6
Computed, not measured: a relaxed NbTlAu2Se crystal at the PBE-GGA level of DFT.

```
NbTlAu2Se
1.0
-3.315 0.640 -3.746
-2.622 -3.789 1.672
-2.677 3.135 2.905
Tl Nb Se Au
1 1 1 2
Direct
0.500 0.500 0.500
0.000 0.500 0.000
0.000 0.000 0.000
0.500 0.000 0.000
0.000 0.000 0.500
```

The calculation puts the density of states at the Fermi level at 0.83 states/eV per atom. The calculation puts the uncorrected energy at -19.69 eV per cell. Its volume is 124.66 Å³/f.u. As for the space group: No. 123. As for the formation energy (no corrections): 2.79 eV per formula unit.

No. 7
Computed, not measured: a relaxed Sm3Dy8Th crystal at the PBE-GGA level of DFT.

```
Sm3Dy8Th
1.0
-4.594 5.868 4.059
-6.175 -4.477 -3.740
4.664 -6.753 2.158
Dy Th Sm
8 1 3
Direct
0.162 0.915 0.749
0.833 0.587 0.748
0.162 0.329 0.832
0.496 0.166 0.329
0.162 0.413 0.247
0.503 0.671 0.833
0.163 0.834 0.330
0.833 0.085 0.246
0.838 0.000 0.838
0.837 0.500 0.337
0.506 0.750 0.256
0.506 0.250 0.755
```

The calculation puts the density of states at the Fermi level at 1.82 states/eV per atom. The calculation puts the uncorrected energy at -58.06 eV per cell. Its volume is 390.25 Å³/f.u. As for the space group: No. 44. The formation energy is 0.028 eV/atom.

No. 8
Computed, not measured: a relaxed TiBiN2F crystal at the PBE-GGA level of DFT.

```
TiBiN2F
1.0
4.336 0.000 0.000
0.000 4.336 0.000
0.000 0.000 4.265
Ti Bi N F
1 1 2 1
Direct
0.500 0.500 0.500
0.000 0.000 0.000
0.000 0.500 0.000
0.500 0.000 0.000
0.000 0.000 0.500
```

The calculation puts the density of states at the Fermi level at 1.38 states/eV per atom. Its relative energy among the computed polymorphs is 1.468 eV per atom. The calculation puts the uncorrected energy at -26.75 eV per cell. Its volume is 80.19 Å³/f.u. As for the space group: No. 123. As for the formation energy (no corrections): 3.55 eV per formula unit.

No. 9
Computed, not measured: a relaxed Li2CdCl crystal at the PBE-GGA level of DFT.

```
Li2CdCl
1.0
3.221 0.037 0.000
-1.106 3.026 0.000
0.000 0.000 7.936
Li Cl Cd
2 1 1
Direct
0.000 0.000 0.551
0.000 0.000 0.949
0.500 0.500 0.750
0.500 0.500 0.250
```

The calculation puts the density of states at the Fermi level at 0.12 states/eV per atom. Its relative energy among the computed polymorphs is 0.055 eV per atom. The calculation puts the uncorrected energy at -9.86 eV per cell. Its volume is 77.69 Å³/f.u. As for the space group: No. 65. As for the formation energy (no corrections): -3.27 eV per formula unit.

No. 10
Computed, not measured: a relaxed FeCu3 crystal at the PBE-GGA level of DFT.

```
FeCu3
1.0
2.545 0.000 0.000
0.000 2.545 0.000
0.000 0.000 7.358
Cu Fe
3 1
Direct
0.000 0.000 0.001
0.500 0.500 0.250
0.000 0.000 0.499
0.500 0.500 0.750
```

The calculation puts the density of states at the Fermi level at 0.63 states/eV per atom. The calculation puts the uncorrected energy at -20.44 eV per cell. Its volume is 47.64 Å³/f.u. As for the space group: No. 123. The formation energy is 0.077 eV/atom.

No. 11
Computed, not measured: a relaxed ZnHgMo crystal at the PBE-GGA level of DFT.

```
ZnHgMo
1.0
2.922 0.000 0.000
-1.461 2.531 0.000
0.000 0.000 7.103
Hg Zn Mo
1 1 1
Direct
0.000 0.000 0.000
0.333 0.667 0.652
0.667 0.333 0.347
```

The calculation puts the density of states at the Fermi level at 0.85 states/eV per atom. Its relative energy among the computed polymorphs is 0.036 eV per atom. The calculation puts the uncorrected energy at -11.18 eV per cell. Its volume is 52.53 Å³/f.u. As for the space group: No. 156. The formation energy is 0.408 eV/atom.

No. 12
Computed, not measured: a relaxed CdSn2Ir2 crystal at the PBE-GGA level of DFT.

```
CdSn2Ir2
1.0
-0.321 2.464 -3.430
-4.068 -1.104 -0.413
-3.766 5.202 1.475
Ir Cd Sn
2 1 2
Direct
0.392 0.392 0.216
0.608 0.608 0.784
0.000 0.000 0.000
0.250 0.750 0.500
0.750 0.250 0.500
```

The calculation puts the density of states at the Fermi level at 0.39 states/eV per atom. Its relative energy among the computed polymorphs is 0.115 eV per atom. The calculation puts the uncorrected energy at -26.36 eV per cell. Its volume is 105.27 Å³/f.u. As for the space group: No. 139. The formation energy is 0.056 eV/atom.

Here are the calculated total moment numbers, same order: 0.00, 0.61, 0.00, 2.28, 0.00, 1.70, 0.00, 0.39, 0.00, 2.62, 0.00, 0.00 (μB per formula unit).